(1)
Compound: Zn2CoB2
Source: Alexandria via LeMat-Bulk
Functional: PBE-GGA
Structure: relaxed

Cell and atoms, written as extended XYZ:
```
10
Lattice="5.418 0.000 0.000 0.000 5.418 0.000 0.000 0.000 3.418" Properties=species:S:1:pos:R:3 pbc="T T T"
Zn 1.065 3.774 1.709
Zn 3.774 4.353 1.709
Zn 4.353 1.644 1.709
Zn 1.644 1.065 1.709
B 2.120 4.829 0.000
B 4.829 3.298 0.000
B 3.298 0.589 0.000
B 0.589 2.120 0.000
Co 0.000 0.000 0.000
Co 2.709 2.709 0.000
```

Values from the calculation:
Crystal system: tetragonal

---

(2)
Compound: ZnCoB
Source: Alexandria via LeMat-Bulk
Functional: PBE-GGA
Structure: relaxed

Cell and atoms, written as extended XYZ:
```
6
Lattice="2.831 0.000 0.000 0.000 2.837 0.000 -1.416 0.000 8.106" Properties=species:S:1:pos:R:3 pbc="T T T"
B 0.000 2.128 7.568
B 1.416 0.709 0.538
Zn 1.416 2.128 4.974
Zn 0.000 0.709 3.132
Co 1.416 0.709 7.044
Co 0.000 2.128 1.061
```

Values from the calculation:
Crystal system: orthorhombic

---

(3)
Compound: ZnCoB2
Source: Alexandria via LeMat-Bulk
Functional: PBE-GGA
Structure: relaxed

Cell and atoms, written as extended XYZ:
```
8
Lattice="-3.262 -0.837 0.641 1.032 -2.107 2.500 -1.572 3.945 6.323" Properties=species:S:1:pos:R:3 pbc="T T T"
Zn 0.000 0.000 0.000
Zn -2.974 0.818 4.267
B -1.488 0.409 2.134
B -0.971 -0.644 3.383
B -1.758 1.328 6.545
B -3.388 0.909 6.866
Co -1.115 -1.472 1.570
Co -0.828 0.183 5.197
```

Values from the calculation:
Crystal system: tetragonal

---

(4)
Compound: Zn2Co2B
Source: Alexandria via LeMat-Bulk
Functional: PBE-GGA
Structure: relaxed

Cell and atoms, written as extended XYZ:
```
10
Lattice="-3.109 -2.555 -3.407 -2.857 -1.875 4.015 -2.411 3.218 -0.213" Properties=species:S:1:pos:R:3 pbc="T T T"
Zn -3.616 -0.058 2.001
Zn -5.659 -1.656 0.984
Zn -4.762 -1.155 -1.606
Zn -2.719 0.443 -0.589
B 0.000 0.000 0.000
B -2.983 -2.215 0.304
Co -3.479 -2.460 2.216
Co -4.499 -3.386 -0.239
Co -2.487 -1.970 -1.608
Co -1.468 -1.044 0.847
```

Values from the calculation:
Crystal system: tetragonal

---

no.,calculated formation energy (eV per atom),E_tot (eV/atom)
1,0.25,-4.36
2,-0.07,-5.09
3,0.27,-5.17
4,-0.11,-4.79